No. 1
The following is a DFT calculation (PBE-GGA) of Pm4Ga2Cu after structural relaxation.

The calculation puts the total DFT energy (no corrections) at -93.9 eV per cell. The value obtained for the formation energy is -0.31 eV per atom. The magnetic moment comes out at 0.0 μB/cell.

The structure belongs to space group R-3m (No. 166, hexagonal axes); the cell edges are 5.1225, 5.1225 and 24.8757 Å and the angles 90.00°, 90.00° and 120.00°. The distinct sites, in fractional coordinates, are Pm at (0.0000, 0.0000, 0.1239), Pm at (0.0000, 0.0000, 0.3746), Ga at (0.0000, 0.0000, 0.2505) and Cu at (0.0000, 0.0000, 0.5000).



No. 2
The following is a DFT calculation (PBE-GGA) of PmGa2Cu2 after structural relaxation.

The calculation puts the total DFT energy (no corrections) at -42.4 eV per cell. The value obtained for the formation energy is -0.45 eV per atom. The magnetic moment comes out at 0.0 μB/cell.

The structure belongs to space group P4/nmm (No. 129, origin choice 2); the cell edges are 4.2048, 4.2048 and 10.0771 Å and the angles 90.00°, 90.00° and 90.00°. The distinct sites, in fractional coordinates, are Pm at (0.2500, 0.2500, 0.2454), Ga at (0.2500, 0.2500, 0.8709), Ga at (0.2500, 0.7500, 0.5000), Cu at (0.2500, 0.2500, 0.6326) and Cu at (0.2500, 0.7500, 0.0000).



No. 3
The following is a DFT calculation (PBE-GGA) of Pm2Ga12Cu after structural relaxation.

The calculation puts the total DFT energy (no corrections) at -110.2 eV per cell. The value obtained for the formation energy is -0.35 eV per atom. The magnetic moment comes out at 0.0 μB/cell.

The structure belongs to space group P4/nbm (No. 125, origin choice 2); the cell edges are 6.1691, 6.1691 and 15.2452 Å and the angles 90.00°, 90.00° and 90.00°. The distinct sites, in fractional coordinates, are Pm at (0.2500, 0.7500, 0.2449), Ga at (0.0004, 0.9996, 0.0860), Ga at (0.0812, 0.5812, 0.4298), Ga at (0.2500, 0.2500, 0.1818), Ga at (0.2500, 0.2500, 0.3433) and Cu at (0.2500, 0.7500, 0.0000).



- total DFT energy (no corrections) of number 1 (Pm4Ga2Cu)?
  -93.9 eV per cell